# MgZrCu2 PBE-GGA relaxed
# **Formation energy**: -79 meV/atom
# **ρ**: 6.01 g/cm3
# **Spin magnetization**: 0.00 μB per cell
data_MgZrCu2
_space_group_name_H-M_alt 'C m m m'
_space_group_IT_number 65
_space_group_name_Hall '-C 2 2'
_cell_length_a 6.587
_cell_length_b 6.597
_cell_length_c 3.086
_cell_angle_alpha 90.00
_cell_angle_beta 90.00
_cell_angle_gamma 90.00
loop_
_atom_site_label
_atom_site_type_symbol
_atom_site_fract_x
_atom_site_fract_y
_atom_site_fract_z
_atom_site_occupancy
Mg1 Mg 0.000 0.000 0.000 1
Zr1 Zr 0.000 0.500 0.000 1
Cu1 Cu 0.250 0.250 0.500 1